1.
This record from Alexandria via LeMat-Bulk describes an optimized crystal structure of K3CdI6. The functional is PBE.

Summary:
Uncorrected formation energy ... -1.037 eV per atom
E ... -95.501 eV per cell
Total moment ... 0.00 μB per atom

a b c (Å): 14.9049 19.4451 6.9325
angles (deg): 90.00 90.00 90.00
Closest atoms and distances in Å follow each position.
Space group Cmc2_1 (No. 36)
One atom of each set of equivalent atoms:
K: 0.0000 0.1198 0.0000 (multiplicity 4)  7 I 3.59-3.77
K: 0.1829 0.3828 0.0224 (multiplicity 8)  6 I 3.54-3.70
Cd: 0.0000 0.2953 0.6139 (multiplicity 4)  4 I 2.79-2.83
I: 0.0000 0.2884 0.2114 (multiplicity 4)  1 Cd 2.79
I: 0.0000 0.4349 0.7247 (multiplicity 4)  1 Cd 2.82
I: 0.1568 0.2276 0.7464 (multiplicity 8)  1 Cd 2.83
I: 0.1608 0.0033 0.2630 (multiplicity 8)  2 I 3.47, 4 K 3.68-3.77

---

2.
This record from Alexandria via LeMat-Bulk describes an optimized crystal structure of Li2TaNi8. The functional is PBE.

Summary:
Energy relative to the elements ... 102.4 meV/atom
E ... -121.608 eV per cell
Total moment ... 0.12 μB per atom

a b c (Å): 7.2927 9.3805 3.8272
angles (deg): 90.00 90.00 90.00
Closest atoms and distances in Å follow each position.
Space group Cmmm (No. 65)
One atom of each set of equivalent atoms:
Li: 0.0000 0.1160 0.0000 (multiplicity 4)  1 Li 2.18, 4 Ni 2.22-2.39
Ta: 0.0000 0.5000 0.5000 (multiplicity 2)  12 Ni 2.44-2.62
Ni: 0.0000 0.2359 0.5000 (multiplicity 4)  2 Li 2.22, 1 Ta 2.48
Ni: 0.1658 0.0000 0.5000 (multiplicity 4)  7 Ni 2.42-2.58, 1 Ta 2.44, 4 Li 2.51
Ni: 0.1735 0.3641 0.0000 (multiplicity 8)  2 Li 2.39-2.65, 7 Ni 2.41-2.59, 2 Ta 2.62